# GGA-PBE RePRh, relaxed
# space group: No. 187
# calculated formation energy: -18 kJ/mol of formula units
# total magnetic moment: 0.00 μB/f.u.
data_RePRh
_space_group_name_H-M_alt 'P 1'
_space_group_IT_number 1
_space_group_name_Hall 'P 1'
_cell_length_a 4.0860
_cell_length_b 4.0860
_cell_length_c 2.9377
_cell_angle_alpha 90.00
_cell_angle_beta 90.00
_cell_angle_gamma 120.00
loop_
_atom_site_label
_atom_site_fract_x
_atom_site_fract_y
_atom_site_fract_z
Re1 0.0000 0.0000 0.0000
P1 0.6667 0.3333 0.0000
Rh1 0.3333 0.6667 0.5000

***

# GGA-PBE CsK2Pb6, relaxed
# space group: No. 12
# calculated formation energy: -87 kJ/mol of formula units
# total magnetic moment: 0.00 μB/f.u.
data_CsK2Pb6
_space_group_name_H-M_alt 'P 1'
_space_group_IT_number 1
_space_group_name_Hall 'P 1'
_cell_length_a 9.8693
_cell_length_b 9.8693
_cell_length_c 3.7125
_cell_angle_alpha 100.68
_cell_angle_beta 100.68
_cell_angle_gamma 78.29
loop_
_atom_site_label
_atom_site_fract_x
_atom_site_fract_y
_atom_site_fract_z
Cs1 0.0000 0.0000 0.0000
K1 0.3260 0.3260 0.8276
K2 0.6740 0.6740 0.1724
Pb1 0.0366 0.6241 0.3305
Pb2 0.3584 0.6416 0.5000
Pb3 0.3759 0.9634 0.6695
Pb4 0.6241 0.0366 0.3305
Pb5 0.6416 0.3584 0.5000
Pb6 0.9634 0.3759 0.6695

***

# GGA-PBE Ca2Hg2I, relaxed
# formation energy (no corrections): -2.86 eV/f.u.
# space group: No. 127
# total magnetic moment: 0.00 μB/f.u.
data_Ca2Hg2I
_space_group_name_H-M_alt 'P 1'
_space_group_IT_number 1
_space_group_name_Hall 'P 1'
_cell_length_a 8.7962
_cell_length_b 8.7962
_cell_length_c 3.9678
_cell_angle_alpha 90.00
_cell_angle_beta 90.00
_cell_angle_gamma 90.00
loop_
_atom_site_label
_atom_site_fract_x
_atom_site_fract_y
_atom_site_fract_z
Ca1 0.1713 0.3287 0.0000
Ca2 0.3287 0.8287 0.0000
Ca3 0.6713 0.1713 0.0000
Ca4 0.8287 0.6713 0.0000
Hg1 0.1238 0.6238 0.5000
Hg2 0.3762 0.1238 0.5000
Hg3 0.6238 0.8762 0.5000
Hg4 0.8762 0.3762 0.5000
I1 0.0000 0.0000 0.5000
I2 0.5000 0.5000 0.5000